Entry from Alexandria via LeMat-Bulk: crystalline LiTcPd2 at its relaxed geometry (PBE).

Results
Crystal system   tetragonal
Total energy   -0.425 Ry/atom
Total moment   0.0 μB/f.u.

Unit cell a=2.7694 b=2.7694 c=7.3922 alpha=90.00 beta=90.00 gamma=90.00
Fractional positions:
Li (0.0000, 0.0000, 0.0000)
Tc (0.0000, 0.0000, 0.5000)
Pd (0.5000, 0.5000, 0.2414)
Pd (0.5000, 0.5000, 0.7586)